# 1
Below is an optimized crystal structure of ZnH2S, with properties calculated at the PBE-GGA level.

Calculated values
Distance to the lowest polymorph of the same formula in meV per atom: 1090
Symmetry: No. 225
ρ in g cm⁻³: 4.38
Density of states at the Fermi level in states/eV/f.u.: 1.2
M_tot in μB per formula unit: 0.00

extended XYZ file:
```
4
Lattice="-2.573 1.405 2.364 -2.061 2.984 -1.017 -3.668 -0.411 -0.748" Properties=species:S:1:pos:R:3 pbc="T T T"
Zn -4.150 1.989 0.300
S 0.000 0.000 0.000
H -6.226 2.983 0.450
H -2.075 0.994 0.150
```

***

# 2
Below is an optimized crystal structure of Ir2PtPb, with properties calculated at the PBE-GGA level.

Calculated values
E_tot in eV per atom: -6.51
Symmetry: No. 12
ρ in g cm⁻³: 18.81
Density of states at the Fermi level in states/eV/f.u.: 3.4
M_tot in μB per formula unit: 0.00

extended XYZ file:
```
4
Lattice="-1.808 -4.412 -0.270 0.061 -4.271 2.137 -4.040 0.486 3.108" Properties=species:S:1:pos:R:3 pbc="T T T"
Ir -1.873 -8.640 1.961
Pt -1.447 -2.049 1.244
Ir -2.769 -4.141 2.393
Pb -4.341 -6.148 3.731
```

***

# 3
Below is an optimized crystal structure of Rb2BaLi, with properties calculated at the PBE-GGA level.

Calculated values
Distance to the lowest polymorph of the same formula in meV per atom: 47
Symmetry: No. 166
ρ in g cm⁻³: 2.04
Density of states at the Fermi level in states/eV/f.u.: 3.9
M_tot in μB per formula unit: 0.68

extended XYZ file:
```
4
Lattice="-2.870 2.962 -1.655 -2.912 -1.233 -3.123 -11.850 -3.064 9.098" Properties=species:S:1:pos:R:3 pbc="T T T"
Li -8.816 -0.667 2.160
Ba 0.000 0.000 0.000
Rb -8.969 -2.007 5.994
Rb -8.662 0.673 -1.675
```

***

# 4
Below is an optimized crystal structure of Be2GaNi, with properties calculated at the PBE-GGA level.

Calculated values
E_tot in eV per atom: -3.77
Symmetry: No. 122
ρ in g cm⁻³: 5.10
Density of states at the Fermi level in states/eV/f.u.: 1.7
M_tot in μB per formula unit: 0.00

extended XYZ file:
```
8
Lattice="6.412 0.000 0.000 0.000 6.412 0.000 3.206 3.206 2.321" Properties=species:S:1:pos:R:3 pbc="T T T"
Ni 3.206 6.412 1.160
Be 4.809 5.040 1.740
Be 8.014 7.783 1.740
Be 1.834 4.809 0.580
Ga 0.000 0.000 0.000
Ni 3.206 3.206 0.000
Be 4.577 1.603 0.580
Ga 6.412 3.206 1.160
```

***

# 5
Below is an optimized crystal structure of HgAs3S, with properties calculated at the PBE-GGA level.

Calculated values
Distance to the lowest polymorph of the same formula in meV per atom: 649
Symmetry: No. 221
ρ in g cm⁻³: 5.47
E_form (uncorrected) in eV per atom: 1.366
Density of states at the Fermi level in states/eV/f.u.: 8.7
M_tot in μB per formula unit: 0.00

extended XYZ file:
```
5
Lattice="5.177 0.000 0.000 0.000 5.177 0.000 0.000 0.000 5.177" Properties=species:S:1:pos:R:3 pbc="T T T"
As 0.000 2.589 0.000
As 0.000 0.000 2.589
Hg 0.000 0.000 0.000
S 2.589 2.589 2.589
As 2.589 0.000 0.000
```

***

# 6
Below is an optimized crystal structure of Pr2Ge3Rh2, with properties calculated at the PBE-GGA level.

Calculated values
Distance to the lowest polymorph of the same formula in meV per atom: 101
Symmetry: No. 12
ρ in g cm⁻³: 8.30
Density of states at the Fermi level in states/eV/f.u.: 3.7
M_tot in μB per formula unit: 0.00

extended XYZ file:
```
7
Lattice="-3.441 0.230 2.520 4.767 -0.966 2.978 -0.904 6.652 -1.842" Properties=species:S:1:pos:R:3 pbc="T T T"
Ge -1.720 0.115 1.260
Ge -1.345 2.839 1.524
Pr 0.219 1.023 3.826
Ge 1.766 3.076 2.132
Rh -0.179 4.656 2.950
Rh 0.601 1.260 0.705
Pr 0.203 4.892 -0.170
```

***

# 7
Below is an optimized crystal structure of KRbBa2, with properties calculated at the PBE-GGA level.

Calculated values
Distance to the lowest polymorph of the same formula in meV per atom: 66
Symmetry: No. 225
ρ in g cm⁻³: 2.30
Density of states at the Fermi level in states/eV/f.u.: 5.4
M_tot in μB per formula unit: 0.00

extended XYZ file:
```
4
Lattice="0.000 5.243 5.243 5.243 0.000 5.243 5.243 5.243 0.000" Properties=species:S:1:pos:R:3 pbc="T T T"
Ba 7.865 7.865 7.865
Rb 5.243 5.243 5.243
Ba 2.622 2.622 2.622
K 0.000 0.000 0.000
```

***

# 8
Below is an optimized crystal structure of TlBr2Cl2, with properties calculated at the PBE-GGA level.

Calculated values
Symmetry: No. 127
ρ in g cm⁻³: 4.61
E_form (uncorrected) in eV per atom: -0.160
Density of states at the Fermi level in states/eV/f.u.: 0.0
M_tot in μB per formula unit: 1.00

extended XYZ file:
```
10
Lattice="8.787 0.000 0.000 0.000 8.787 0.000 0.000 0.000 4.058" Properties=species:S:1:pos:R:3 pbc="T T T"
Br 5.220 0.827 0.000
Cl 6.761 2.367 2.029
Cl 2.026 6.419 2.029
Tl 4.393 4.393 0.000
Br 7.960 5.220 0.000
Cl 2.367 2.026 2.029
Br 0.827 3.566 0.000
Cl 6.419 6.761 2.029
Br 3.566 7.960 0.000
Tl 0.000 0.000 0.000
```